! HoErCuAg | the Alexandria database | GGA-PBE | relaxed; values from VASP
&SYSTEM
  ibrav = 0, nat = 4, ntyp = 4
/
ATOMIC_SPECIES
Ag 107.87 Ag.upf
Cu 63.55 Cu.upf
Er 167.26 Er.upf
Ho 164.93 Ho.upf
ATOMIC_POSITIONS crystal
Ag 0.0000 0.0000 0.8547
Cu 0.0000 0.0000 0.3591
Er 0.5000 0.5000 0.5932
Ho 0.5000 0.5000 0.1210
CELL_PARAMETERS angstrom
3.5145 0.0000 0.0000
0.0000 3.5145 0.0000
0.0000 0.0000 7.1155
! total magnetization: 0.00 μB per formula unit
! E_tot: -4.320 eV/atom
! energy relative to the elements: -1.19 eV per formula unit
! excess energy over the best structure of this formula in the dataset: 0 meV/atom
! DOS at the Fermi energy: 2.6 states/eV/f.u.
! space group: P4mm

---

! NdSm3Rh | the Alexandria database | GGA-PBE | relaxed; values from VASP
&SYSTEM
  ibrav = 0, nat = 20, ntyp = 3
/
ATOMIC_SPECIES
Nd 144.24 Nd.upf
Sm 150.36 Sm.upf
Rh 102.91 Rh.upf
ATOMIC_POSITIONS crystal
Nd 0.0367 0.3155 0.7396
Nd 0.5367 0.6845 0.7604
Nd 0.4633 0.3155 0.2396
Nd 0.9633 0.6845 0.2604
Sm 0.7891 0.4359 0.4764
Sm 0.2109 0.5641 0.5236
Sm 0.7109 0.4359 0.9764
Sm 0.0030 0.7834 0.8771
Sm 0.4970 0.7834 0.3771
Sm 0.2891 0.5641 0.0236
Sm 0.1300 0.0832 0.3896
Sm 0.9970 0.2166 0.1229
Sm 0.8700 0.9168 0.6104
Sm 0.3700 0.0832 0.8896
Sm 0.6300 0.9168 0.1104
Sm 0.5030 0.2166 0.6229
Rh 0.2590 0.9301 0.5983
Rh 0.7410 0.0699 0.4017
Rh 0.7590 0.0699 0.9017
Rh 0.2410 0.9301 0.0983
CELL_PARAMETERS angstrom
-5.5171 -4.9442 -0.1794
3.4911 -3.6618 -6.4408
3.6981 -4.4359 8.5244
! total magnetization: 0.00 μB per formula unit
! E_tot: -5.522 eV/atom
! energy relative to the elements: -1.33 eV per formula unit
! excess energy over the best structure of this formula in the dataset: 59 meV/atom
! DOS at the Fermi energy: 5.3 states/eV/f.u.
! space group: P2_1/c

---

! CeMg14Co | the Alexandria database | GGA-PBE | relaxed; values from VASP
&SYSTEM
  ibrav = 0, nat = 16, ntyp = 3
/
ATOMIC_SPECIES
Mg 24.30 Mg.upf
Co 58.93 Co.upf
Ce 140.12 Ce.upf
ATOMIC_POSITIONS crystal
Mg 0.3324 0.1757 0.0000
Mg 0.6756 0.8288 0.7494
Mg 0.2945 0.1808 0.5000
Mg 0.8249 0.1751 0.0000
Mg 0.8192 0.7055 0.5000
Mg 0.6921 0.3079 0.7047
Mg 0.1675 0.8325 0.7643
Mg 0.6921 0.3079 0.2953
Mg 0.6756 0.8288 0.2506
Mg 0.1675 0.8325 0.2357
Mg 0.1712 0.3244 0.7494
Mg 0.1712 0.3244 0.2506
Mg 0.3327 0.6673 0.0000
Mg 0.8243 0.6676 0.0000
Co 0.8476 0.1524 0.5000
Ce 0.3115 0.6885 0.5000
CELL_PARAMETERS angstrom
3.0038 -5.8151 0.0000
3.0038 5.8151 0.0000
0.0000 0.0000 10.2917
! total magnetization: 0.41 μB per formula unit
! E_tot: -2.140 eV/atom
! energy relative to the elements: 1.13 eV per formula unit
! excess energy over the best structure of this formula in the dataset: 0 meV/atom
! DOS at the Fermi energy: 12.1 states/eV/f.u.
! space group: Amm2

---

! CrAg3Cl8 | the Alexandria database | GGA-PBE | relaxed; values from VASP
&SYSTEM
  ibrav = 0, nat = 12, ntyp = 3
/
ATOMIC_SPECIES
Cl 35.45 Cl.upf
Ag 107.87 Ag.upf
Cr 52.00 Cr.upf
ATOMIC_POSITIONS crystal
Cl 0.2844 0.7156 0.0000
Cl 0.7067 0.2933 0.5000
Cl 0.7296 0.7405 0.7128
Cl 0.7405 0.7296 0.2872
Cl 0.2933 0.7067 0.5000
Cl 0.7156 0.2844 0.0000
Cl 0.2595 0.2704 0.2872
Cl 0.2704 0.2595 0.7128
Ag 0.5000 0.0000 0.7518
Ag 0.5000 0.5000 0.0000
Ag 0.0000 0.5000 0.2482
Cr 0.5000 0.5000 0.5000
CELL_PARAMETERS angstrom
6.7322 0.0773 0.0000
-3.0884 5.9825 0.0000
0.0000 0.0000 7.6336
! total magnetization: 1.68 μB per formula unit
! formation energy without anion corrections: -0.61 eV per atom
! E_tot: -3.356 eV/atom
! DOS at the Fermi energy: 7.1 states/eV/f.u.
! space group: C222

---

Look up the DOS at the Fermi energy of the fourth one. 7.1 states/eV/f.u.

---

Which of these has the highest total magnetization? CrAg3Cl8